## ZrSiIO2 (PBE)

Data for a relaxed ZrSiIO2 crystal.

POSCAR file:
```
ZrSiIO2
1.0
4.1186 0.0000 0.0000
0.0000 4.1186 0.0000
0.0000 0.0000 6.3482
Zr Si I O
1 1 1 2
direct
0.0000 0.0000 0.0000
0.5000 0.5000 0.5000
0.0000 0.0000 0.5000
0.0000 0.5000 0.0000
0.5000 0.0000 0.0000
```

Computed properties:
Space group = P4/mmm, No. 123
Density = 4.29 g/cm3
E_tot = -6.156 eV per atom
Density of states at the Fermi level = 2.3 states/eV/cell
V = 21.537 A^3/atom